Record 1
Li2TlIrF8: optimized geometry, PBE.

Results
Symmetry: Cmmm

Cell lengths 4.767, 4.776, 6.847 Å; angles 89.98, 89.98, 90.22 degrees
Element x y z (fractional)
1 F 0.805 0.196 0.778
2 F 0.195 0.804 0.778
3 F 0.805 0.196 0.222
4 F 0.301 0.300 0.000
5 F 0.683 0.684 0.500
6 F 0.317 0.316 0.500
7 F 0.195 0.804 0.222
8 F 0.699 0.700 0.000
9 Ir 0.000 0.000 0.000
10 Li 0.500 0.500 0.226
11 Li 0.500 0.500 0.774
12 Tl 0.000 0.000 0.500


Record 2
MgIr3F: optimized geometry, PBE.

Results
Symmetry: Pm-3m

Cell lengths 4.624, 4.624, 4.624 Å; angles 90.00, 90.00, 90.00 degrees
Element x y z (fractional)
1 Mg 0.000 0.000 0.000
2 F 0.500 0.500 0.500
3 Ir 0.000 0.000 0.500
4 Ir 0.000 0.500 0.000
5 Ir 0.500 0.000 0.000


Record 3
Mg2IrF2: optimized geometry, PBE.

Results
Symmetry: P4/mbm

Cell lengths 7.069, 7.069, 2.639 Å; angles 90.00, 90.00, 90.00 degrees
Element x y z (fractional)
1 F 0.390 0.890 0.000
2 F 0.890 0.610 0.000
3 F 0.610 0.110 0.000
4 F 0.110 0.390 0.000
5 Mg 0.151 0.651 0.500
6 Mg 0.349 0.151 0.500
7 Mg 0.651 0.849 0.500
8 Mg 0.849 0.349 0.500
9 Ir 0.000 0.000 0.000
10 Ir 0.500 0.500 0.000


Record 4
Mg2IrF2: optimized geometry, PBE.

Results
Symmetry: I4/mmm

Cell lengths 4.121, 4.121, 5.238 Å; angles 66.83, 66.83, 90.00 degrees
Element x y z (fractional)
1 F 0.320 0.320 0.360
2 F 0.680 0.680 0.640
3 Mg 0.750 0.250 0.500
4 Mg 0.250 0.750 0.500
5 Ir 0.000 0.000 0.000


The following formation energy without anion corrections values (in eV/atom) correspond, in order, to the records above: -2.03; 1.97; -1.30; -1.11.
The following total magnetization values (in μB per atom) correspond, in order, to the records above: 0.009; 0.853; 0.000; 0.203.